## Hf3SbPb (PBE)

Data for a relaxed Hf3SbPb crystal.

Output
Calculated density in g/cm³: 9.85
Energy relative to the elements, uncorrected in kJ/mol of formula units: 406
Symmetry: Pm-3m, No. 221
Fermi-level density of states in states/eV per atom: 1.134

Structure (extended XYZ):
```
5
Lattice="5.2629 0.0000 0.0000 0.0000 5.2629 0.0000 0.0000 0.0000 5.2629" Properties=species:S:1:pos:R:3 pbc="T T T"
Pb 2.6315 2.6315 2.6315
Sb 0.0000 0.0000 0.0000
Hf 0.0000 2.6315 0.0000
Hf 0.0000 0.0000 2.6315
Hf 2.6315 0.0000 0.0000
```

---

## HgGe3 (PBE)

Data for a relaxed HgGe3 crystal.

Output
Calculated density in g/cm³: 8.14
Symmetry: P6_3/mmc, No. 194
ΔE_f in eV/atom: 0.343
Fermi-level density of states in states/eV per atom: 0.357

Structure (extended XYZ):
```
8
Lattice="5.4871 0.0000 0.0000 0.0000 5.9960 -0.0001 0.0000 -2.9983 5.1925" Properties=species:S:1:pos:R:3 pbc="T T T"
Ge 4.1153 4.5952 0.8086
Ge 4.1153 1.4004 0.8086
Ge 4.1153 2.9976 3.5753
Ge 1.3718 -1.5976 4.3838
Ge 1.3718 1.5972 4.3837
Ge 1.3718 0.0001 1.6172
Hg 1.3718 2.9980 1.7307
Hg 4.1153 -0.0003 3.4617
```

---

## SrRuSCl2 (PBE)

Data for a relaxed SrRuSCl2 crystal.

Output
Calculated density in g/cm³: 4.32
Energy relative to the elements, uncorrected in kJ/mol of formula units: -446
Symmetry: P4/mmm, No. 123
Fermi-level density of states in states/eV per atom: 0.819

Structure (extended XYZ):
```
5
Lattice="-4.7715 0.5788 -1.0637 -0.5224 -4.8849 -0.3145 -1.0262 -0.1804 4.5055" Properties=species:S:1:pos:R:3 pbc="T T T"
Ru 0.0000 0.0000 0.0000
S -0.5131 -0.0902 2.2528
Cl -0.2612 -2.4424 -0.1573
Cl -2.3858 0.2894 -0.5318
Sr -3.1601 -2.2432 1.5637
```

---

## Zn3AgS (PBE)

Data for a relaxed Zn3AgS crystal.

Output
Calculated density in g/cm³: 5.31
Energy relative to the elements, uncorrected in kJ/mol of formula units: 208
Symmetry: Pm-3m, No. 221
Fermi-level density of states in states/eV per atom: 0.414

Structure (extended XYZ):
```
5
Lattice="4.7197 0.0000 0.0000 0.0000 4.7197 0.0000 0.0000 0.0000 4.7197" Properties=species:S:1:pos:R:3 pbc="T T T"
Zn 0.0000 2.3598 0.0000
Zn 0.0000 0.0000 2.3598
Zn 2.3598 0.0000 0.0000
S 0.0000 0.0000 0.0000
Ag 2.3598 2.3598 2.3598
```